VASP calculation (PBE-GGA) on crystalline Ca2Ce3PaN6 at its relaxed geometry.

a b c (Å): 6.140 6.140 6.182
angles (deg): 99.44 99.44 119.95
Last column: magnetic moment on the atom in μB.
Element x y z (fractional)
N1 0.781 0.781 0.253  -0.02
Ce1 0.500 0.500 0.500  0.52
N2 0.083 0.385 0.247  -0.02
N3 0.385 0.083 0.247  -0.02
Ca1 0.334 0.666 0.000  0.02
N4 0.615 0.917 0.753  -0.02
Pa1 0.000 0.000 0.000  0.08
Ca2 0.666 0.334 0.000  0.02
Ce2 0.831 0.169 0.500  0.53
Ce3 0.169 0.831 0.500  0.53
N5 0.917 0.615 0.753  -0.02
N6 0.219 0.219 0.747  -0.02

energy relative to the elements, uncorrected = -1427 meV/atom
M_tot = 2.0 μB per formula unit
DOS(E_F) = 8.18 states/eV/cell
crystal system = monoclinic
raw total energy = -98.4 eV per cell